Ni2PtAu | PBEsol | relaxed

Computed properties:
Magnetic moment, Bohr magnetons per cell: 1.299
Theoretical density, g cm⁻³: 16.00
Energy of formation, eV per atom: 0.02
Energy relative to the lowest polymorph listed for this composition, eV/f.u.: 0.072
Space group: Cmmm

Geometry as CIF:
```
data_Ni2PtAu
_cell_length_a 2.717
_cell_length_b 4.487
_cell_length_c 4.487
_cell_angle_alpha 104.88
_cell_angle_beta 90.00
_cell_angle_gamma 90.00
_space_group_name_H-M_alt 'P 1'
_space_group_IT_number 1
_space_group_name_Hall 'P 1'
loop_
_atom_site_label
_atom_site_fract_x
_atom_site_fract_y
_atom_site_fract_z
_atom_site_occupancy
Ni1 0.000 0.000 0.500 1
Ni2 0.000 0.500 0.000 1
Pt1 0.500 0.000 0.000 1
Au1 0.500 0.500 0.500 1
```



NiPt2Au | PBEsol | relaxed

Computed properties:
Magnetic moment, Bohr magnetons per cell: 1.186
Theoretical density, g cm⁻³: 18.47
Energy of formation, eV per atom: 0.01
Energy relative to the lowest polymorph listed for this composition, eV/f.u.: 0.044
Space group: R-3m

Geometry as CIF:
```
data_NiPt2Au
_cell_length_a 2.746
_cell_length_b 2.746
_cell_length_c 9.033
_cell_angle_alpha 81.26
_cell_angle_beta 81.26
_cell_angle_gamma 60.00
_space_group_name_H-M_alt 'P 1'
_space_group_IT_number 1
_space_group_name_Hall 'P 1'
loop_
_atom_site_label
_atom_site_fract_x
_atom_site_fract_y
_atom_site_fract_z
_atom_site_occupancy
Pt1 0.257 0.257 0.228 1
Pt2 0.743 0.743 0.772 1
Au1 0.500 0.500 0.500 1
Ni1 0.000 0.000 0.000 1
```



NiPtAu | PBEsol | relaxed

Computed properties:
Magnetic moment, Bohr magnetons per cell: 0.811
Theoretical density, g cm⁻³: 17.63
Energy of formation, eV per atom: 0.02
Space group: I4mm

Geometry as CIF:
```
data_NiPtAu
_cell_length_a 2.761
_cell_length_b 2.761
_cell_length_c 5.903
_cell_angle_alpha 103.52
_cell_angle_beta 103.52
_cell_angle_gamma 90.00
_space_group_name_H-M_alt 'P 1'
_space_group_IT_number 1
_space_group_name_Hall 'P 1'
loop_
_atom_site_label
_atom_site_fract_x
_atom_site_fract_y
_atom_site_fract_z
_atom_site_occupancy
Ni1 0.329 0.329 0.658 1
Pt1 0.680 0.680 0.360 1
Au1 0.991 0.991 0.983 1
```



Ni2PtAu | PBEsol | relaxed

Computed properties:
Magnetic moment, Bohr magnetons per cell: 1.479
Theoretical density, g cm⁻³: 15.94
Energy of formation, eV per atom: 0.01
Energy relative to the lowest polymorph listed for this composition, eV/f.u.: 0.046
Space group: Pmmm

Geometry as CIF:
```
data_Ni2PtAu
_cell_length_a 2.724
_cell_length_b 3.551
_cell_length_c 5.486
_cell_angle_alpha 90.00
_cell_angle_beta 90.00
_cell_angle_gamma 90.00
_space_group_name_H-M_alt 'P 1'
_space_group_IT_number 1
_space_group_name_Hall 'P 1'
loop_
_atom_site_label
_atom_site_fract_x
_atom_site_fract_y
_atom_site_fract_z
_atom_site_occupancy
Ni1 0.000 0.000 0.236 1
Ni2 0.000 0.000 0.764 1
Au1 0.500 0.500 0.500 1
Pt1 0.500 0.500 0.000 1
```



Ni2PtAu | PBEsol | relaxed

Computed properties:
Magnetic moment, Bohr magnetons per cell: 1.523
Theoretical density, g cm⁻³: 15.97
Energy of formation, eV per atom: 0.00
Energy relative to the lowest polymorph listed for this composition, eV/f.u.: 0.000
Space group: P4/mmm

Geometry as CIF:
```
data_Ni2PtAu
_cell_length_a 2.718
_cell_length_b 2.718
_cell_length_c 7.170
_cell_angle_alpha 90.00
_cell_angle_beta 90.00
_cell_angle_gamma 90.00
_space_group_name_H-M_alt 'P 1'
_space_group_IT_number 1
_space_group_name_Hall 'P 1'
loop_
_atom_site_label
_atom_site_fract_x
_atom_site_fract_y
_atom_site_fract_z
_atom_site_occupancy
Ni1 0.000 0.000 0.241 1
Ni2 0.000 0.000 0.759 1
Au1 0.500 0.500 0.500 1
Pt1 0.500 0.500 0.000 1
```



Ni2PtAu | PBEsol | relaxed

Computed properties:
Magnetic moment, Bohr magnetons per cell: 1.395
Theoretical density, g cm⁻³: 15.90
Energy of formation, eV per atom: 0.06
Energy relative to the lowest polymorph listed for this composition, eV/f.u.: 0.235
Space group: I-4m2

Geometry as CIF:
```
data_Ni2PtAu
_cell_length_a 3.722
_cell_length_b 3.722
_cell_length_c 4.656
_cell_angle_alpha 113.56
_cell_angle_beta 113.56
_cell_angle_gamma 90.00
_space_group_name_H-M_alt 'P 1'
_space_group_IT_number 1
_space_group_name_Hall 'P 1'
loop_
_atom_site_label
_atom_site_fract_x
_atom_site_fract_y
_atom_site_fract_z
_atom_site_occupancy
Ni1 0.000 0.000 0.000 1
Ni2 0.750 0.250 0.500 1
Pt1 0.500 0.500 0.000 1
Au1 0.250 0.750 0.500 1
```



NiPt2Au | PBEsol | relaxed

Computed properties:
Magnetic moment, Bohr magnetons per cell: 1.033
Theoretical density, g cm⁻³: 18.46
Energy of formation, eV per atom: 0.05
Energy relative to the lowest polymorph listed for this composition, eV/f.u.: 0.203
Space group: Immm

Geometry as CIF:
```
data_NiPt2Au
_cell_length_a 2.732
_cell_length_b 4.610
_cell_length_c 5.335
_cell_angle_alpha 115.60
_cell_angle_beta 104.84
_cell_angle_gamma 90.00
_space_group_name_H-M_alt 'P 1'
_space_group_IT_number 1
_space_group_name_Hall 'P 1'
loop_
_atom_site_label
_atom_site_fract_x
_atom_site_fract_y
_atom_site_fract_z
_atom_site_occupancy
Pt1 0.266 0.266 0.531 1
Pt2 0.734 0.734 0.469 1
Au1 0.500 0.000 0.000 1
Ni1 0.000 0.500 0.000 1
```



NiPt2Au | PBEsol | relaxed

Computed properties:
Magnetic moment, Bohr magnetons per cell: 1.222
Theoretical density, g cm⁻³: 18.66
Energy of formation, eV per atom: 0.01
Energy relative to the lowest polymorph listed for this composition, eV/f.u.: 0.076
Space group: P4mm

Geometry as CIF:
```
data_NiPt2Au
_cell_length_a 2.762
_cell_length_b 2.762
_cell_length_c 7.535
_cell_angle_alpha 90.00
_cell_angle_beta 90.00
_cell_angle_gamma 90.00
_space_group_name_H-M_alt 'P 1'
_space_group_IT_number 1
_space_group_name_Hall 'P 1'
loop_
_atom_site_label
_atom_site_fract_x
_atom_site_fract_y
_atom_site_fract_z
_atom_site_occupancy
Pt1 0.500 0.500 0.242 1
Pt2 0.000 0.000 0.980 1
Au1 0.000 0.000 0.519 1
Ni1 0.500 0.500 0.759 1
```



NiPt2Au | PBEsol | relaxed

Computed properties:
Magnetic moment, Bohr magnetons per cell: 1.142
Theoretical density, g cm⁻³: 18.53
Energy of formation, eV per atom: 0.06
Energy relative to the lowest polymorph listed for this composition, eV/f.u.: 0.264
Space group: I-4m2

Geometry as CIF:
```
data_NiPt2Au
_cell_length_a 3.889
_cell_length_b 3.889
_cell_length_c 4.712
_cell_angle_alpha 114.37
_cell_angle_beta 114.37
_cell_angle_gamma 90.00
_space_group_name_H-M_alt 'P 1'
_space_group_IT_number 1
_space_group_name_Hall 'P 1'
loop_
_atom_site_label
_atom_site_fract_x
_atom_site_fract_y
_atom_site_fract_z
_atom_site_occupancy
Pt1 0.000 0.000 0.000 1
Pt2 0.750 0.250 0.500 1
Au1 0.500 0.500 0.000 1
Ni1 0.250 0.750 0.500 1
```



RbNi2Au | PBEsol | relaxed

Computed properties:
Magnetic moment, Bohr magnetons per cell: 0.000
Theoretical density, g cm⁻³: 9.92
Energy of formation, eV per atom: 0.91
Space group: Fm-3m

Geometry as CIF:
```
data_RbNi2Au
_cell_length_a 4.557
_cell_length_b 4.557
_cell_length_c 4.557
_cell_angle_alpha 60.00
_cell_angle_beta 60.00
_cell_angle_gamma 60.00
_space_group_name_H-M_alt 'P 1'
_space_group_IT_number 1
_space_group_name_Hall 'P 1'
loop_
_atom_site_label
_atom_site_fract_x
_atom_site_fract_y
_atom_site_fract_z
_atom_site_occupancy
Rb1 0.000 0.000 0.000 1
Ni1 0.250 0.250 0.250 1
Ni2 0.750 0.750 0.750 1
Au1 0.500 0.500 0.500 1
```



ReNiAu | PBEsol | relaxed

Computed properties:
Magnetic moment, Bohr magnetons per cell: 0.000
Theoretical density, g cm⁻³: 16.02
Energy of formation, eV per atom: 0.66
Space group: F-43m

Geometry as CIF:
```
data_ReNiAu
_cell_length_a 4.016
_cell_length_b 4.016
_cell_length_c 4.016
_cell_angle_alpha 60.00
_cell_angle_beta 60.00
_cell_angle_gamma 60.00
_space_group_name_H-M_alt 'P 1'
_space_group_IT_number 1
_space_group_name_Hall 'P 1'
loop_
_atom_site_label
_atom_site_fract_x
_atom_site_fract_y
_atom_site_fract_z
_atom_site_occupancy
Re1 0.000 0.000 0.000 1
Ni1 0.250 0.250 0.250 1
Au1 0.500 0.500 0.500 1
```



ReNi2Au | PBEsol | relaxed

Computed properties:
Magnetic moment, Bohr magnetons per cell: 0.000
Theoretical density, g cm⁻³: 15.96
Energy of formation, eV per atom: 0.02
Space group: P4/mmm

Geometry as CIF:
```
data_ReNi2Au
_cell_length_a 2.663
_cell_length_b 2.663
_cell_length_c 7.340
_cell_angle_alpha 90.00
_cell_angle_beta 90.00
_cell_angle_gamma 90.00
_space_group_name_H-M_alt 'P 1'
_space_group_IT_number 1
_space_group_name_Hall 'P 1'
loop_
_atom_site_label
_atom_site_fract_x
_atom_site_fract_y
_atom_site_fract_z
_atom_site_occupancy
Re1 0.500 0.500 0.000 1
Ni1 0.000 0.000 0.764 1
Ni2 0.000 0.000 0.236 1
Au1 0.500 0.500 0.500 1
```